[1]
The following is a DFT calculation (PBE) of a geometry-optimized Ca5Si4 structure.

The structure belongs to space group C2/m (No. 12); the cell edges are 10.710, 4.572 and 9.886 Å and the angles 90.00°, 111.53° and 90.00°. The inequivalent atoms are Ca at (0.000, 0.000, 0.000), Ca at (0.103, 0.000, 0.396), Ca at (0.243, 0.000, 0.824), Si at (0.048, 0.500, 0.826) and Si at (0.105, 0.500, 0.609).

Its uncorrected formation energy is -489.9 meV/atom. For the density of states at the Fermi level, the calculation gives 3.042 states/eV/f.u.

---

[2]
The following is a DFT calculation (PBE) of a geometry-optimized Ca2Si structure.

The structure belongs to space group I4/mmm (No. 139); the cell edges are 4.097, 4.097 and 9.362 Å and the angles 90.00°, 90.00° and 90.00°. The inequivalent atoms are Ca at (0.000, 0.000, 0.154) and Si at (0.000, 0.000, 0.500).

Its uncorrected formation energy is -104.5 meV/atom. For the density of states at the Fermi level, the calculation gives 2.504 states/eV/f.u.